The following is a DFT calculation (GGA+U) of crystalline Rb2VSF6 at its relaxed geometry.

Lattice parameters (Å, degrees): 6.3580 6.3580 9.9473 90.00 90.00 90.00
Last column: nearest neighbours and their distance in Å.
Space group I4/mmm (No. 139)
Inequivalent atoms, fractional coordinates:
1 Rb 0.0000 0.5000 0.2500  12 F 3.23-3.37
2 V 0.0000 0.0000 0.0000  6 F 1.89-1.92
3 S 0.0000 0.0000 0.5000  4 F 2.60
4 F 0.0000 0.0000 0.1931  1 V 1.92
5 F 0.2106 0.2106 0.0000  1 V 1.89

- Calculated density: 3.04 g/cm³
- Total energy: -4.659 eV/atom
- Magnetic moment: 3.42 μB/f.u.